First-principles (PBE-GGA) data for NaGe5Pd7 after structural relaxation, as listed in Alexandria.

Energy of formation   -0.3419 eV per atom
Energy   -5.015 eV/atom

Lattice parameters (Å, degrees): 8.8807 8.7655 6.7816 90.00 121.94 90.00
With the nearest neighbours (Å) after each atom.
Space group Cm (No. 8)
Symmetry-distinct sites (fractional):
1 Na 0.0000 0.0000 0.0000 [2 per cell]  5 Pd 2.83-3.16, 3 Ge 2.88-3.04
2 Ge 0.2339 0.3438 0.4873 [4 per cell]  5 Pd 2.50-2.59, 1 Ge 2.74
3 Ge 0.2410 0.2482 0.0039 [4 per cell]  4 Pd 2.47-2.56
4 Ge 0.2744 0.0000 0.4864 [2 per cell]  6 Pd 2.56-2.70
5 Pd 0.0408 0.1621 0.5409 [4 per cell]  4 Ge 2.50-2.77
6 Pd 0.1255 0.5000 0.7038 [2 per cell]  5 Ge 2.54-2.80, 2 Pd 2.80-2.84, 1 Na 2.83
7 Pd 0.2328 0.5000 0.1737 [2 per cell]  4 Ge 2.51-2.52, 1 Pd 2.80
8 Pd 0.3947 0.0000 0.2133 [2 per cell]  3 Ge 2.56-2.58, 1 Pd 2.84
9 Pd 0.4242 0.1716 0.8453 [4 per cell]  4 Ge 2.47-2.59



First-principles (PBE-GGA) data for Na2Ge6Pd after structural relaxation, as listed in Alexandria.

Energy of formation   -0.1161 eV per atom
Energy   -4.064 eV/atom

Lattice parameters (Å, degrees): 10.4006 5.8120 5.8972 90.00 91.01 90.00
With the nearest neighbours (Å) after each atom.
Space group C2/m (No. 12)
Symmetry-distinct sites (fractional):
1 Na 0.1629 0.0000 0.3697 [4 per cell]  9 Ge 3.12-3.23, 2 Pd 3.46
2 Ge 0.0895 0.2429 0.8352 [8 per cell]  1 Pd 2.63, 4 Ge 2.66-2.83
3 Ge 0.1747 0.5000 0.1795 [4 per cell]  1 Pd 2.64, 4 Ge 2.66-2.83
4 Pd 0.0000 0.5000 0.5000 [2 per cell]  6 Ge 2.63-2.64



First-principles (PBE-GGA) data for Na2Ge2Pd after structural relaxation, as listed in Alexandria.

Energy of formation   -0.2545 eV per atom
Energy   -3.668 eV/atom
Distance to the lowest polymorph of the same formula   0 kJ/mol of formula units

Lattice parameters (Å, degrees): 10.4931 4.5369 10.1417 90.00 117.66 90.00
With the nearest neighbours (Å) after each atom.
Space group C2/m (No. 12)
Symmetry-distinct sites (fractional):
1 Na 0.0931 0.0000 0.3977 [4 per cell]  6 Ge 3.00-3.13
2 Na 0.1718 0.5000 0.1919 [4 per cell]  4 Pd 3.11-3.19, 7 Ge 3.16-3.37, 2 Na 3.43
3 Ge 0.0830 0.0000 0.9354 [4 per cell]  3 Pd 2.53-2.54, 1 Ge 2.62
4 Ge 0.1143 0.5000 0.6139 [4 per cell]  1 Ge 2.44, 1 Pd 2.51
5 Pd 0.1536 0.5000 0.8772 [4 per cell]  4 Ge 2.51-2.54



First-principles (PBE-GGA) data for NaGe4Pd6 after structural relaxation, as listed in Alexandria.

Energy of formation   -0.5115 eV per atom
Energy   -5.143 eV/atom

Lattice parameters (Å, degrees): 7.4580 7.4580 3.8014 90.00 90.00 120.00
With the nearest neighbours (Å) after each atom.
Space group P-6m2 (No. 187)
Symmetry-distinct sites (fractional):
1 Na 0.0000 0.0000 0.0000 [1 per cell]  6 Ge 3.08, 6 Pd 3.20
2 Ge 0.3333 0.6667 0.0000 [1 per cell]  9 Pd 2.57-2.62
3 Ge 0.3754 0.1877 0.5000 [3 per cell]  6 Pd 2.50-2.61
4 Pd 0.1995 0.3989 0.5000 [3 per cell]  4 Ge 2.50-2.57
5 Pd 0.5359 0.0717 0.0000 [3 per cell]  5 Ge 2.61-2.62, 2 Pd 2.93



First-principles (PBE-GGA) data for NaGe3Pd2 after structural relaxation, as listed in Alexandria.

Energy of formation   -0.2196 eV per atom
Energy   -4.479 eV/atom
Distance to the lowest polymorph of the same formula   2 kJ/mol of formula units

Lattice parameters (Å, degrees): 5.7049 14.4262 5.4901 90.00 90.00 90.00
With the nearest neighbours (Å) after each atom.
Space group Ibam (No. 72)
Symmetry-distinct sites (fractional):
1 Na 0.0000 0.0000 0.0000 [4 per cell]  2 Na 2.75, 2 Pd 2.85
2 Ge 0.0000 0.2143 0.2500 [8 per cell]  4 Pd 2.64-2.65, 2 Ge 2.75
3 Ge 0.0000 0.5000 0.2500 [4 per cell]  4 Pd 2.60, 2 Ge 2.75
4 Pd 0.1487 0.3591 0.0000 [8 per cell]  6 Ge 2.60-2.65, 1 Na 2.85



First-principles (PBE-GGA) data for NaGe2Pd3 after structural relaxation, as listed in Alexandria.

Energy of formation   -0.4155 eV per atom
Energy   -4.771 eV/atom

Lattice parameters (Å, degrees): 15.0953 4.1830 7.9341 90.00 115.31 90.00
With the nearest neighbours (Å) after each atom.
Space group C2/m (No. 12)
Symmetry-distinct sites (fractional):
1 Na 0.1618 0.0000 0.0775 [4 per cell]  7 Pd 3.18-3.48, 7 Ge 3.25-3.53
2 Ge 0.0163 0.5000 0.1654 [4 per cell]  1 Ge 2.46, 4 Pd 2.48
3 Ge 0.1769 0.0000 0.6450 [4 per cell]  6 Pd 2.48-2.68
4 Pd 0.0272 0.0000 0.3405 [4 per cell]  3 Ge 2.48-2.50
5 Pd 0.1056 0.5000 0.7021 [4 per cell]  3 Ge 2.48
6 Pd 0.1796 0.5000 0.4352 [4 per cell]  4 Ge 2.48-2.68



First-principles (PBE-GGA) data for Na3Ge3Pd after structural relaxation, as listed in Alexandria.

Energy of formation   0.0130 eV per atom
Energy   -3.273 eV/atom

Lattice parameters (Å, degrees): 9.4607 9.4607 6.2311 90.00 90.00 120.00
With the nearest neighbours (Å) after each atom.
Space group R3m (No. 160, hexagonal axes)
Symmetry-distinct sites (fractional):
1 Na 0.0786 0.5393 0.0000 [9 per cell]  6 Ge 3.00-3.16, 1 Pd 3.14
2 Ge 0.0546 0.5273 0.4935 [9 per cell]  1 Pd 2.40
3 Pd 0.0000 0.0000 0.7104 [3 per cell]  3 Ge 2.40



First-principles (PBE-GGA) data for NaGePd2 after structural relaxation, as listed in Alexandria.

Energy of formation   -0.1444 eV per atom
Energy   -4.225 eV/atom

Lattice parameters (Å, degrees): 7.2791 7.2791 5.8151 90.00 90.00 90.00
With the nearest neighbours (Å) after each atom.
Space group I-42d (No. 122)
Symmetry-distinct sites (fractional):
1 Na 0.0000 0.0000 0.0000 [4 per cell]  2 Ge 2.91, 8 Pd 2.98-3.16
2 Ge 0.0000 0.0000 0.5000 [4 per cell]  4 Pd 2.41
3 Pd 0.1916 0.2500 0.6250 [8 per cell]  2 Ge 2.41



First-principles (PBE-GGA) data for Na2Ge2Pd after structural relaxation, as listed in Alexandria.

Energy of formation   -0.2554 eV per atom
Energy   -3.668 eV/atom
Distance to the lowest polymorph of the same formula   0 kJ/mol of formula units

Lattice parameters (Å, degrees): 6.4947 6.4947 4.9385 90.00 90.00 90.00
With the nearest neighbours (Å) after each atom.
Space group P4/mbm (No. 127)
Symmetry-distinct sites (fractional):
1 Na 0.1790 0.3210 0.0000 [4 per cell]  6 Ge 3.00-3.22, 1 Na 3.29
2 Ge 0.1350 0.6350 0.5000 [4 per cell]  1 Ge 2.48, 2 Pd 2.53
3 Pd 0.0000 0.0000 0.5000 [2 per cell]  4 Ge 2.53



First-principles (PBE-GGA) data for NaGePd after structural relaxation, as listed in Alexandria.

Energy of formation   -0.2399 eV per atom
Energy   -3.950 eV/atom

Lattice parameters (Å, degrees): 4.5415 4.5415 2.9795 90.00 90.00 120.00
With the nearest neighbours (Å) after each atom.
Space group P-6m2 (No. 187)
Symmetry-distinct sites (fractional):
1 Na 0.0000 0.0000 0.0000 [1 per cell]  2 Na 2.98, 6 Ge 3.02, 6 Pd 3.02
2 Ge 0.6667 0.3333 0.5000 [1 per cell]  3 Pd 2.62
3 Pd 0.3333 0.6667 0.5000 [1 per cell]  3 Ge 2.62



First-principles (PBE-GGA) data for NaGe2Pd8 after structural relaxation, as listed in Alexandria.

Energy of formation   -0.2783 eV per atom
Energy   -5.014 eV/atom

Lattice parameters (Å, degrees): 7.4044 11.0786 4.6491 90.00 108.47 90.00
With the nearest neighbours (Å) after each atom.
Space group C2/m (No. 12)
Symmetry-distinct sites (fractional):
1 Na 0.0000 0.0000 0.0000 [2 per cell]  4 Pd 2.70-2.77
2 Ge 0.0000 0.3147 0.5000 [4 per cell]  8 Pd 2.46-2.54
3 Pd 0.0000 0.2433 0.0000 [4 per cell]  2 Ge 2.46, 1 Na 2.70
4 Pd 0.1059 0.5000 0.8134 [4 per cell]  2 Ge 2.50, 1 Pd 2.68, 1 Na 2.77
5 Pd 0.2014 0.1241 0.5997 [8 per cell]  2 Ge 2.49-2.54, 1 Pd 2.75



First-principles (PBE-GGA) data for NaGePd2 after structural relaxation, as listed in Alexandria.

Energy of formation   -0.3699 eV per atom
Energy   -4.450 eV/atom

Lattice parameters (Å, degrees): 3.9533 10.3582 7.0752 90.00 90.00 90.00
With the nearest neighbours (Å) after each atom.
Space group Cmcm (No. 63)
Symmetry-distinct sites (fractional):
1 Na 0.0000 0.0596 0.2500 [4 per cell]  3 Ge 2.87-3.04, 4 Pd 3.04
2 Ge 0.0000 0.2172 0.7500 [4 per cell]  6 Pd 2.53-2.54
3 Pd 0.0000 0.3513 0.0489 [8 per cell]  3 Ge 2.53-2.54



First-principles (PBE-GGA) data for Na2GePd6 after structural relaxation, as listed in Alexandria.

Energy of formation   -0.1032 eV per atom
Energy   -4.371 eV/atom

Lattice parameters (Å, degrees): 7.8090 7.8090 2.8166 90.00 90.00 120.00
With the nearest neighbours (Å) after each atom.
Space group P-31m (No. 162)
Symmetry-distinct sites (fractional):
1 Na 0.3333 0.6667 0.0000 [2 per cell]  6 Pd 2.77, 2 Na 2.82
2 Ge 0.0000 0.0000 0.5000 [1 per cell]  6 Pd 2.57, 2 Ge 2.82
3 Pd 0.0000 0.3186 0.7333 [6 per cell]  1 Ge 2.57, 2 Na 2.77, 4 Pd 2.81-2.82



First-principles (PBE-GGA) data for Na3GePd after structural relaxation, as listed in Alexandria.

Energy of formation   -0.1129 eV per atom
Energy   -2.866 eV/atom
Distance to the lowest polymorph of the same formula   0 kJ/mol of formula units

Lattice parameters (Å, degrees): 10.2321 9.1302 7.4051 90.00 129.76 90.00
With the nearest neighbours (Å) after each atom.
Space group C2/m (No. 12)
Symmetry-distinct sites (fractional):
1 Na 0.0453 0.0000 0.3324 [4 per cell]  2 Pd 2.96-3.24, 1 Ge 3.04, 1 Na 3.16
2 Na 0.2204 0.3045 0.7635 [8 per cell]  1 Pd 2.91, 2 Ge 3.19-3.20
3 Ge 0.0682 0.5000 0.3090 [4 per cell]  2 Pd 2.40-2.44
4 Pd 0.1785 0.5000 0.0989 [4 per cell]  2 Ge 2.40-2.44



First-principles (PBE-GGA) data for Na2Ge7Pd12 after structural relaxation, as listed in Alexandria.

Energy of formation   -0.5096 eV per atom
Energy   -5.142 eV/atom

Lattice parameters (Å, degrees): 10.3615 10.3615 3.7768 90.00 90.00 120.00
With the nearest neighbours (Å) after each atom.
Space group P-6 (No. 174)
Symmetry-distinct sites (fractional):
1 Na 0.0000 0.0000 0.0000 [1 per cell]  6 Ge 3.13, 6 Pd 3.22
2 Na 0.3333 0.6667 0.5000 [1 per cell]  6 Ge 3.11, 6 Pd 3.20
3 Ge 0.0755 0.4535 0.0000 [3 per cell]  7 Pd 2.50-2.66
4 Ge 0.2583 0.2180 0.5000 [3 per cell]  7 Pd 2.51-2.59
5 Ge 0.6667 0.3333 0.0000 [1 per cell]  3 Pd 2.44
6 Pd 0.0471 0.2717 0.5000 [3 per cell]  4 Ge 2.51-2.59
7 Pd 0.1085 0.7097 0.0000 [3 per cell]  4 Ge 2.50-2.56
8 Pd 0.3957 0.1788 0.0000 [3 per cell]  4 Ge 2.44-2.55
9 Pd 0.5321 0.4338 0.5000 [3 per cell]  5 Ge 2.59-2.84



First-principles (PBE-GGA) data for NaGePd after structural relaxation, as listed in Alexandria.

Energy of formation   -0.3817 eV per atom
Energy   -4.091 eV/atom

Lattice parameters (Å, degrees): 4.4697 4.4697 6.4297 90.00 90.00 90.00
With the nearest neighbours (Å) after each atom.
Space group P4/nmm (No. 129, origin choice 2)
Symmetry-distinct sites (fractional):
1 Na 0.2500 0.2500 0.1622 [2 per cell]  6 Ge 3.08-3.35, 4 Pd 3.12
2 Ge 0.2500 0.2500 0.6827 [2 per cell]  4 Pd 2.52
3 Pd 0.2500 0.7500 0.5000 [2 per cell]  4 Ge 2.52



First-principles (PBE-GGA) data for NaGe3Pd after structural relaxation, as listed in Alexandria.

Energy of formation   1.1121 eV per atom
Energy   -2.961 eV/atom
Distance to the lowest polymorph of the same formula   646 kJ/mol of formula units

Lattice parameters (Å, degrees): 4.9013 4.9013 4.9013 90.00 90.00 90.00
With the nearest neighbours (Å) after each atom.
Space group Pm-3m (No. 221)
Symmetry-distinct sites (fractional):
1 Na 0.0000 0.0000 0.0000 [1 per cell]  6 Ge 2.45
2 Ge 0.0000 0.0000 0.5000 [3 per cell]  2 Na 2.45
3 Pd 0.5000 0.5000 0.5000 [1 per cell]  12 Ge 3.47



First-principles (PBE-GGA) data for NaGePd3 after structural relaxation, as listed in Alexandria.

Energy of formation   -0.0630 eV per atom
Energy   -4.366 eV/atom

Lattice parameters (Å, degrees): 4.7122 4.7122 4.7122 90.00 90.00 90.00
With the nearest neighbours (Å) after each atom.
Space group Pm-3m (No. 221)
Symmetry-distinct sites (fractional):
1 Na 0.0000 0.0000 0.0000 [1 per cell]  12 Pd 3.33
2 Ge 0.5000 0.5000 0.5000 [1 per cell]  6 Pd 2.36
3 Pd 0.0000 0.5000 0.5000 [3 per cell]  2 Ge 2.36



First-principles (PBE-GGA) data for Na2GePd after structural relaxation, as listed in Alexandria.

Energy of formation   0.1786 eV per atom
Energy   -2.933 eV/atom

Lattice parameters (Å, degrees): 2.9783 2.9783 31.6747 90.00 90.00 120.00
With the nearest neighbours (Å) after each atom.
Space group R-3m (No. 166, hexagonal axes)
Symmetry-distinct sites (fractional):
1 Na 0.0000 0.0000 0.0851 [6 per cell]  1 Pd 2.70, 6 Na 2.98
2 Ge 0.0000 0.0000 0.5000 [3 per cell]  6 Ge 2.98, 6 Na 3.10
3 Pd 0.0000 0.0000 0.0000 [3 per cell]  2 Na 2.70, 6 Pd 2.98



First-principles (PBE-GGA) data for NaGePd2 after structural relaxation, as listed in Alexandria.

Energy of formation   -0.2538 eV per atom
Energy   -4.334 eV/atom

Lattice parameters (Å, degrees): 3.9446 3.9446 9.5084 90.00 90.00 90.00
With the nearest neighbours (Å) after each atom.
Space group P4/nmm (No. 129, origin choice 2)
Symmetry-distinct sites (fractional):
1 Na 0.2500 0.2500 0.2153 [2 per cell]  5 Pd 2.78-3.08, 4 Ge 3.00
2 Ge 0.2500 0.2500 0.6692 [2 per cell]  5 Pd 2.41-2.55
3 Pd 0.2500 0.2500 0.9228 [2 per cell]  1 Ge 2.41
4 Pd 0.2500 0.7500 0.5000 [2 per cell]  4 Ge 2.55, 4 Pd 2.79